Entry 1:
## Sr2CrIn (PBE)

Data for Sr2CrIn after structural relaxation.

a = 3.875 Å, b = 3.875 Å, c = 9.066 Å
α = 90.00°, β = 90.00°, γ = 90.00°
Positions (direct):
Sr1 0.000 0.000 0.000
Sr2 0.500 0.500 0.377
Cr1 0.000 0.000 0.626
In1 0.500 0.500 0.755

Results
The space group is P4mm. The value obtained for the uncorrected energy is -3.75 eV per atom. As for the size of the total moment: 4.36 Bohr magnetons per cell.

Entry 2:
## SrCrIn2 (PBE)

Data for SrCrIn2 after structural relaxation.

a = 7.598 Å, b = 7.598 Å, c = 7.598 Å
α = 151.62°, β = 146.68°, γ = 44.32°
Positions (direct):
Sr1 0.000 0.000 0.000
Cr1 0.210 0.710 0.500
In1 0.367 0.367 0.000
In2 0.710 0.210 0.500

Results
The space group is Imm2. The value obtained for the uncorrected energy is -4.04 eV per atom. As for the size of the total moment: 3.98 Bohr magnetons per cell.

Entry 3:
## SrCrIn2 (PBE)

Data for SrCrIn2 after structural relaxation.

a = 6.345 Å, b = 6.345 Å, c = 6.345 Å
α = 44.42°, β = 44.42°, γ = 44.42°
Positions (direct):
Sr1 0.000 0.000 0.000
Cr1 0.500 0.500 0.500
In1 0.210 0.210 0.210
In2 0.790 0.790 0.790

Results
The space group is R-3m. The value obtained for the uncorrected energy is -4.20 eV per atom. As for the size of the total moment: 4.08 Bohr magnetons per cell.

Entry 4:
## Sr2CrIn (PBE)

Data for Sr2CrIn after structural relaxation.

a = 6.749 Å, b = 6.749 Å, c = 5.693 Å
α = 114.36°, β = 114.36°, γ = 34.50°
Positions (direct):
Sr1 0.000 0.000 0.000
Sr2 0.206 0.206 0.702
Cr1 0.437 0.437 0.438
In1 0.762 0.762 0.257

Results
The space group is Cm. The value obtained for the uncorrected energy is -3.76 eV per atom. As for the size of the total moment: 4.77 Bohr magnetons per cell.

Entry 5:
## SrCrIn3 (PBE)

Data for SrCrIn3 after structural relaxation.

a = 5.153 Å, b = 5.153 Å, c = 5.153 Å
α = 90.00°, β = 90.00°, γ = 90.00°
Positions (direct):
Sr1 0.000 0.000 0.000
Cr1 0.500 0.500 0.500
In1 0.000 0.500 0.500
In2 0.500 0.000 0.500
In3 0.500 0.500 0.000

Results
The space group is Pm-3m. The value obtained for the uncorrected energy is -3.89 eV per atom. As for the size of the total moment: 0.95 Bohr magnetons per cell. The calculation puts the energy above the most stable polymorph in this dataset at 0.000 eV per atom.

Entry 6:
## SrCrIn2 (PBE)

Data for SrCrIn2 after structural relaxation.

a = 10.459 Å, b = 10.459 Å, c = 10.459 Å
α = 150.99°, β = 150.99°, γ = 41.49°
Positions (direct):
Sr1 0.000 0.000 0.000
Sr2 0.750 0.250 0.500
Cr1 0.250 0.750 0.500
Cr2 0.500 0.500 0.000
In1 0.268 0.625 0.143
In2 0.375 0.518 0.643
In3 0.482 0.125 0.857
In4 0.875 0.732 0.357

Results
The space group is I-42d. The value obtained for the uncorrected energy is -3.88 eV per atom. As for the size of the total moment: 8.66 Bohr magnetons per cell.

- Among the records above, which one has the lowest uncorrected energy?
  number 3